1:
This record from Alexandria via LeMat-Bulk describes an optimized crystal structure of Ac4Tl2Ga. The functional is PBE-GGA.

## Properties
Its space-group type is No. 12. Its density of states at the Fermi level is 7.31 states/eV/cell. The volume comes out at 38.1 Å³/atom.

Lattice parameters (Å, degrees): 9.729 9.729 7.336 108.93 108.93 24.05
Fractional coordinates of all 7 atoms:
Ac  0.091  0.091  0.445
Ac  0.371  0.371  0.024
Ac  0.629  0.629  0.976
Ac  0.909  0.909  0.555
Tl  0.257  0.257  0.326
Tl  0.743  0.743  0.674
Ga  0.000  0.000  0.000

***

2:
This record from Alexandria via LeMat-Bulk describes an optimized crystal structure of Ac4Tl2Ga. The functional is PBE-GGA.

## Properties
Its space-group type is No. 166. Its density of states at the Fermi level is 9.26 states/eV/cell. The volume comes out at 37.4 Å³/atom.

Lattice parameters (Å, degrees): 9.822 9.822 9.822 33.82 33.82 33.82
Fractional coordinates of all 7 atoms:
Ac  0.123  0.123  0.123
Ac  0.375  0.375  0.375
Ac  0.625  0.625  0.625
Ac  0.877  0.877  0.877
Tl  0.247  0.247  0.247
Tl  0.753  0.753  0.753
Ga  0.000  0.000  0.000

***

Computed relative energies in units of eV/atom: 1 0.022; 2 0.000

***

1:
This record from Alexandria via LeMat-Bulk describes an optimized crystal structure of Ac3Tl2Ga. The functional is PBE-GGA.

## Properties
Its space-group type is No. 62. Its density of states at the Fermi level is 19.43 states/eV/cell. The volume comes out at 35.5 Å³/atom.

Lattice parameters (Å, degrees): 13.455 4.777 13.253 90.00 90.00 90.00
Fractional coordinates of all 24 atoms:
Ac  0.064  0.250  0.118
Ac  0.116  0.750  0.550
Ac  0.214  0.250  0.794
Ac  0.286  0.750  0.294
Ac  0.384  0.250  0.050
Ac  0.436  0.750  0.618
Ac  0.564  0.250  0.382
Ac  0.616  0.750  0.950
Ac  0.714  0.250  0.706
Ac  0.786  0.750  0.206
Ac  0.884  0.250  0.450
Ac  0.936  0.750  0.882
Tl  0.016  0.750  0.307
Tl  0.197  0.750  0.997
Tl  0.303  0.250  0.497
Tl  0.484  0.250  0.807
Tl  0.516  0.750  0.193
Tl  0.697  0.750  0.503
Tl  0.803  0.250  0.003
Tl  0.984  0.250  0.693
Ga  0.137  0.250  0.354
Ga  0.363  0.750  0.854
Ga  0.637  0.250  0.146
Ga  0.863  0.750  0.646

***

2:
This record from Alexandria via LeMat-Bulk describes an optimized crystal structure of Ac3Tl2Ga. The functional is PBE-GGA.

## Properties
Its space-group type is No. 15. Its density of states at the Fermi level is 8.96 states/eV/cell. The volume comes out at 33.9 Å³/atom.

Lattice parameters (Å, degrees): 9.250 9.250 7.036 102.08 102.08 43.83
Fractional coordinates of all 12 atoms:
Ac  0.142  0.858  0.750
Ac  0.224  0.444  0.397
Ac  0.444  0.224  0.897
Ac  0.556  0.776  0.103
Ac  0.776  0.556  0.603
Ac  0.858  0.142  0.250
Tl  0.047  0.279  0.039
Tl  0.279  0.047  0.539
Tl  0.721  0.953  0.461
Tl  0.953  0.721  0.961
Ga  0.359  0.641  0.250
Ga  0.641  0.359  0.750

***

Computed relative energies in units of eV/atom: 1 0.000; 2 0.048

***

1:
This record from Alexandria via LeMat-Bulk describes an optimized crystal structure of Ac4TlGa. The functional is PBE-GGA.

## Properties
Its space-group type is No. 123. Its density of states at the Fermi level is 8.52 states/eV/cell. The volume comes out at 40.1 Å³/atom.

Lattice parameters (Å, degrees): 5.519 5.519 7.889 90.00 90.00 90.00
Fractional coordinates of all 6 atoms:
Ac  0.000  0.500  0.235
Ac  0.000  0.500  0.765
Ac  0.500  0.000  0.235
Ac  0.500  0.000  0.765
Tl  0.000  0.000  0.500
Ga  0.500  0.500  0.000

***

2:
This record from Alexandria via LeMat-Bulk describes an optimized crystal structure of Ac4TlGa. The functional is PBE-GGA.

## Properties
Its space-group type is No. 11. Its density of states at the Fermi level is 13.80 states/eV/cell. The volume comes out at 38.4 Å³/atom.

Lattice parameters (Å, degrees): 6.747 7.450 9.693 90.00 109.16 90.00
Fractional coordinates of all 12 atoms:
Ac  0.158  0.250  0.070
Ac  0.271  0.504  0.745
Ac  0.271  0.996  0.745
Ac  0.288  0.750  0.363
Ac  0.712  0.250  0.637
Ac  0.729  0.004  0.255
Ac  0.729  0.496  0.255
Ac  0.842  0.750  0.930
Tl  0.195  0.250  0.426
Tl  0.805  0.750  0.574
Ga  0.360  0.750  0.042
Ga  0.640  0.250  0.958

***

Computed relative energies in units of eV/atom: 1 0.103; 2 0.000

***

1:
This record from Alexandria via LeMat-Bulk describes an optimized crystal structure of Ac6Tl2Ga. The functional is PBE-GGA.

## Properties
Its space-group type is No. 71. Its density of states at the Fermi level is 12.98 states/eV/cell. The volume comes out at 41.0 Å³/atom.

Lattice parameters (Å, degrees): 9.660 9.660 9.660 146.39 131.79 60.05
Fractional coordinates of all 9 atoms:
Ac  0.080  0.337  0.743
Ac  0.234  0.000  0.234
Ac  0.405  0.663  0.743
Ac  0.595  0.337  0.257
Ac  0.766  0.000  0.766
Ac  0.920  0.663  0.257
Tl  0.336  0.836  0.500
Tl  0.664  0.164  0.500
Ga  0.000  0.500  0.500

***

2:
This record from Alexandria via LeMat-Bulk describes an optimized crystal structure of Ac6Tl2Ga. The functional is PBE-GGA.

## Properties
Its space-group type is No. 189. Its density of states at the Fermi level is 12.49 states/eV/cell. The volume comes out at 37.4 Å³/atom.

Lattice parameters (Å, degrees): 8.957 8.957 4.845 90.00 90.00 120.00
Fractional coordinates of all 9 atoms:
Ac  0.000  0.405  0.000
Ac  0.000  0.746  0.500
Ac  0.254  0.254  0.500
Ac  0.405  0.000  0.000
Ac  0.595  0.595  0.000
Ac  0.746  0.000  0.500
Tl  0.333  0.667  0.500
Tl  0.667  0.333  0.500
Ga  0.000  0.000  0.000

***

Computed relative energies in units of eV/atom: 1 0.154; 2 0.000

***

1:
This record from Alexandria via LeMat-Bulk describes an optimized crystal structure of AcTm2Ga. The functional is PBE-GGA.

## Properties
Its space-group type is No. 123. Its density of states at the Fermi level is 3.60 states/eV/cell. The volume comes out at 29.4 Å³/atom.

Lattice parameters (Å, degrees): 3.595 3.595 9.107 90.00 90.00 90.00
Fractional coordinates of all 4 atoms:
Ac  0.000  0.000  0.000
Tm  0.500  0.500  0.307
Tm  0.500  0.500  0.693
Ga  0.000  0.000  0.500

***

2:
This record from Alexandria via LeMat-Bulk describes an optimized crystal structure of AcTm2Ga. The functional is PBE-GGA.

## Properties
Its space-group type is No. 225. Its density of states at the Fermi level is 7.32 states/eV/cell. The volume comes out at 28.4 Å³/atom.

Lattice parameters (Å, degrees): 5.437 5.437 5.437 60.00 60.00 60.00
Fractional coordinates of all 4 atoms:
Ac  0.000  0.000  0.000
Tm  0.250  0.250  0.250
Tm  0.750  0.750  0.750
Ga  0.500  0.500  0.500

***

Computed relative energies in units of eV/atom: 1 0.000; 2 0.333

***

1:
This record from Alexandria via LeMat-Bulk describes an optimized crystal structure of AcTm2Ga. The functional is PBE-GGA.

## Properties
Its space-group type is No. 160. Its density of states at the Fermi level is 4.22 states/eV/cell. The volume comes out at 31.8 Å³/atom.

Lattice parameters (Å, degrees): 6.711 6.711 6.711 42.99 42.99 42.99
Fractional coordinates of all 4 atoms:
Ac  0.000  0.000  0.000
Tm  0.212  0.212  0.212
Tm  0.449  0.449  0.449
Ga  0.807  0.807  0.807

***

2:
This record from Alexandria via LeMat-Bulk describes an optimized crystal structure of AcTm2Ga. The functional is PBE-GGA.

## Properties
Its space-group type is No. 166. Its density of states at the Fermi level is 4.12 states/eV/cell. The volume comes out at 31.5 Å³/atom.

Lattice parameters (Å, degrees): 11.508 11.508 11.508 17.93 17.93 17.93
Fractional coordinates of all 4 atoms:
Ac  0.000  0.000  0.000
Tm  0.105  0.105  0.105
Tm  0.895  0.895  0.895
Ga  0.500  0.500  0.500

***

Computed relative energies in units of eV/atom: 1 0.000; 2 0.088

***

1:
This record from Alexandria via LeMat-Bulk describes an optimized crystal structure of AcTm2Ga6. The functional is PBE-GGA.

## Properties
Its space-group type is No. 71. Its density of states at the Fermi level is 3.52 states/eV/cell. The volume comes out at 23.2 Å³/atom.

Lattice parameters (Å, degrees): 7.743 7.743 7.743 147.01 123.05 67.41
Fractional coordinates of all 9 atoms:
Ac  0.000  0.000  0.000
Tm  0.374  0.874  0.500
Tm  0.626  0.126  0.500
Ga  0.017  0.312  0.705
Ga  0.328  0.500  0.828
Ga  0.393  0.688  0.705
Ga  0.607  0.312  0.295
Ga  0.672  0.500  0.172
Ga  0.983  0.688  0.295

***

2:
This record from Alexandria via LeMat-Bulk describes an optimized crystal structure of AcTm2Ga6. The functional is PBE-GGA.

## Properties
Its space-group type is No. 191. Its density of states at the Fermi level is 5.61 states/eV/cell. The volume comes out at 22.6 Å³/atom.

Lattice parameters (Å, degrees): 7.391 7.391 4.290 90.00 90.00 120.00
Fractional coordinates of all 9 atoms:
Ac  0.000  0.000  0.000
Tm  0.333  0.667  0.000
Tm  0.667  0.333  0.000
Ga  0.000  0.338  0.500
Ga  0.000  0.662  0.500
Ga  0.338  0.000  0.500
Ga  0.338  0.338  0.500
Ga  0.662  0.000  0.500
Ga  0.662  0.662  0.500

***

Computed relative energies in units of eV/atom: 1 0.064; 2 0.000

***

1:
This record from Alexandria via LeMat-Bulk describes an optimized crystal structure of AcVGa2. The functional is PBE-GGA.

## Properties
Its space-group type is No. 166. Its density of states at the Fermi level is 2.28 states/eV/cell. The volume comes out at 24.1 Å³/atom.

Lattice parameters (Å, degrees): 6.202 6.202 6.202 41.97 41.97 41.97
Fractional coordinates of all 4 atoms:
Ac  0.000  0.000  0.000
V  0.500  0.500  0.500
Ga  0.206  0.206  0.206
Ga  0.794  0.794  0.794

***

2:
This record from Alexandria via LeMat-Bulk describes an optimized crystal structure of AcVGa2. The functional is PBE-GGA.

## Properties
Its space-group type is No. 123. Its density of states at the Fermi level is 3.99 states/eV/cell. The volume comes out at 21.6 Å³/atom.

Lattice parameters (Å, degrees): 3.467 3.467 7.194 90.00 90.00 90.00
Fractional coordinates of all 4 atoms:
Ac  0.000  0.000  0.000
V  0.000  0.000  0.500
Ga  0.500  0.500  0.316
Ga  0.500  0.500  0.684

***

Computed relative energies in units of eV/atom: 1 0.000; 2 0.083

***

1:
This record from Alexandria via LeMat-Bulk describes an optimized crystal structure of AcYGa. The functional is PBE-GGA.

## Properties
Its space-group type is No. 38. Its density of states at the Fermi level is 4.52 states/eV/cell. The volume comes out at 31.9 Å³/atom.

Lattice parameters (Å, degrees): 3.635 7.419 7.419 28.62 90.00 90.00
Fractional coordinates of all 3 atoms:
Ac  0.000  0.000  0.000
Y  0.000  0.264  0.264
Ga  0.500  0.646  0.646

***

2:
This record from Alexandria via LeMat-Bulk describes an optimized crystal structure of AcYGa. The functional is PBE-GGA.

## Properties
Its space-group type is No. 2. Its density of states at the Fermi level is 6.52 states/eV/cell. The volume comes out at 30.8 Å³/atom.

Lattice parameters (Å, degrees): 3.704 7.232 7.412 105.12 90.02 104.81
Fractional coordinates of all 6 atoms:
Ac  0.136  0.270  0.070
Ac  0.864  0.730  0.930
Y  0.148  0.296  0.576
Y  0.852  0.704  0.424
Ga  0.500  0.000  0.301
Ga  0.500  0.000  0.699

***

Computed relative energies in units of eV/atom: 1 0.118; 2 0.000

***

1:
This record from Alexandria via LeMat-Bulk describes an optimized crystal structure of AcYGa. The functional is PBE-GGA.

## Properties
Its space-group type is No. 216. Its density of states at the Fermi level is 4.51 states/eV/cell. The volume comes out at 33.6 Å³/atom.

Lattice parameters (Å, degrees): 5.222 5.222 5.222 60.00 60.00 60.00
Fractional coordinates of all 3 atoms:
Ac  0.000  0.000  0.000
Y  0.500  0.500  0.500
Ga  0.250  0.250  0.250

***

2:
This record from Alexandria via LeMat-Bulk describes an optimized crystal structure of AcYGa. The functional is PBE-GGA.

## Properties
Its space-group type is No. 107. Its density of states at the Fermi level is 2.18 states/eV/cell. The volume comes out at 31.0 Å³/atom.

Lattice parameters (Å, degrees): 7.249 7.249 7.249 150.35 150.35 42.42
Fractional coordinates of all 3 atoms:
Ac  0.000  0.000  0.000
Y  0.717  0.717  0.000
Ga  0.337  0.337  0.000

***

Computed relative energies in units of eV/atom: 1 0.111; 2 0.000

***

1:
This record from Alexandria via LeMat-Bulk describes an optimized crystal structure of AcY2Ga6. The functional is PBE-GGA.

## Properties
Its space-group type is No. 71. Its density of states at the Fermi level is 3.54 states/eV/cell. The volume comes out at 23.8 Å³/atom.

Lattice parameters (Å, degrees): 7.814 7.814 7.814 147.01 123.31 67.17
Fractional coordinates of all 9 atoms:
Ac  0.000  0.000  0.000
Y  0.372  0.872  0.500
Y  0.628  0.128  0.500
Ga  0.017  0.314  0.703
Ga  0.328  0.500  0.828
Ga  0.389  0.686  0.703
Ga  0.611  0.314  0.297
Ga  0.672  0.500  0.172
Ga  0.983  0.686  0.297

***

2:
This record from Alexandria via LeMat-Bulk describes an optimized crystal structure of AcY2Ga6. The functional is PBE-GGA.

## Properties
Its space-group type is No. 191. Its density of states at the Fermi level is 5.71 states/eV/cell. The volume comes out at 23.0 Å³/atom.

Lattice parameters (Å, degrees): 7.414 7.414 4.346 90.00 90.00 120.00
Fractional coordinates of all 9 atoms:
Ac  0.000  0.000  0.000
Y  0.333  0.667  0.000
Y  0.667  0.333  0.000
Ga  0.000  0.337  0.500
Ga  0.000  0.663  0.500
Ga  0.337  0.000  0.500
Ga  0.337  0.337  0.500
Ga  0.663  0.000  0.500
Ga  0.663  0.663  0.500

***

Computed relative energies in units of eV/atom: 1 0.116; 2 0.000

***

1:
This record from Alexandria via LeMat-Bulk describes an optimized crystal structure of AcY2Ga. The functional is PBE-GGA.

## Properties
Its space-group type is No. 160. Its density of states at the Fermi level is 4.29 states/eV/cell. The volume comes out at 33.0 Å³/atom.

Lattice parameters (Å, degrees): 6.813 6.813 6.813 42.73 42.73 42.73
Fractional coordinates of all 4 atoms:
Ac  0.000  0.000  0.000
Y  0.552  0.552  0.552
Y  0.786  0.786  0.786
Ga  0.189  0.189  0.189

***

2:
This record from Alexandria via LeMat-Bulk describes an optimized crystal structure of AcY2Ga. The functional is PBE-GGA.

## Properties
Its space-group type is No. 123. Its density of states at the Fermi level is 3.87 states/eV/cell. The volume comes out at 30.4 Å³/atom.

Lattice parameters (Å, degrees): 3.637 3.637 9.186 90.00 90.00 90.00
Fractional coordinates of all 4 atoms:
Ac  0.000  0.000  0.000
Y  0.500  0.500  0.306
Y  0.500  0.500  0.694
Ga  0.000  0.000  0.500

***

Computed relative energies in units of eV/atom: 1 0.152; 2 0.000